! PBE-GGA Y2OsBr, optimized geometry; values from VASP
&SYSTEM
  ibrav = 0, nat = 4, ntyp = 3
/
ATOMIC_SPECIES
Y 88.91 Y.upf
Os 190.23 Os.upf
Br 79.90 Br.upf
CELL_PARAMETERS angstrom
1.341 -0.594 4.814
-0.073 3.935 3.136
-3.475 0.260 3.631
ATOMIC_POSITIONS angstrom
Y -0.552 0.901 2.895
Y -1.655 2.702 8.686
Os -1.103 1.801 5.791
Br 0.000 0.000 0.000
! * total energy: -6.666 eV/atom
! * total magnetization: 0.00 μB per formula unit
! * space-group type: Fm-3m
! * energy relative to the elements, uncorrected: -0.832 eV per formula unit

***

! PBE-GGA Y2OsBr, optimized geometry; values from VASP
&SYSTEM
  ibrav = 0, nat = 8, ntyp = 3
/
ATOMIC_SPECIES
Y 88.91 Y.upf
Os 190.23 Os.upf
Br 79.90 Br.upf
CELL_PARAMETERS angstrom
6.388 0.000 0.000
0.000 6.388 0.000
3.194 3.194 6.507
ATOMIC_POSITIONS angstrom
Y 5.106 1.597 1.627
Y 1.282 4.791 1.627
Y 4.791 4.476 4.880
Y 7.985 8.300 4.880
Os 0.000 0.000 0.000
Os 6.388 3.194 3.253
Br 3.194 3.194 0.000
Br 3.194 6.388 3.253
! * total energy: -6.511 eV/atom
! * total magnetization: 0.00 μB per formula unit
! * space-group type: I-42d
! * energy relative to the elements, uncorrected: -0.214 eV per formula unit

***

! PBE-GGA YOsBr2, optimized geometry; values from VASP
&SYSTEM
  ibrav = 0, nat = 4, ntyp = 3
/
ATOMIC_SPECIES
Y 88.91 Y.upf
Os 190.23 Os.upf
Br 79.90 Br.upf
CELL_PARAMETERS angstrom
2.218 0.000 8.343
-1.109 1.921 8.343
-1.109 -1.921 8.343
ATOMIC_POSITIONS angstrom
Y 0.000 0.000 0.000
Os 0.000 0.000 12.515
Br 0.000 0.000 22.117
Br 0.000 0.000 2.912
! * total energy: -4.727 eV/atom
! * total magnetization: 0.00 μB per formula unit
! * space-group type: R-3m
! * energy relative to the elements, uncorrected: 2.132 eV per formula unit

***

! PBE-GGA YOsBr2, optimized geometry; values from VASP
&SYSTEM
  ibrav = 0, nat = 4, ntyp = 3
/
ATOMIC_SPECIES
Y 88.91 Y.upf
Os 190.23 Os.upf
Br 79.90 Br.upf
CELL_PARAMETERS angstrom
-1.331 1.432 3.877
-0.863 -4.342 1.308
4.221 -0.759 1.730
ATOMIC_POSITIONS angstrom
Y 1.853 -3.109 4.216
Os 0.174 -0.559 2.698
Br 0.099 -0.151 0.090
Br 1.580 -2.399 1.429
! * total energy: -5.123 eV/atom
! * total magnetization: 0.82 μB per formula unit
! * space-group type: Cmmm
! * energy relative to the elements, uncorrected: 0.550 eV per formula unit

***

! PBE-GGA YOsBr2, optimized geometry; values from VASP
&SYSTEM
  ibrav = 0, nat = 4, ntyp = 3
/
ATOMIC_SPECIES
Y 88.91 Y.upf
Os 190.23 Os.upf
Br 79.90 Br.upf
CELL_PARAMETERS angstrom
7.603 0.049 -0.007
5.611 5.130 0.007
-6.374 -3.185 2.653
ATOMIC_POSITIONS angstrom
Y 3.917 2.658 1.330
Os 6.267 2.457 0.000
Br 12.919 5.064 0.000
Br 3.558 -0.414 1.323
! * total energy: -5.408 eV/atom
! * total magnetization: 0.00 μB per formula unit
! * space-group type: Imm2
! * energy relative to the elements, uncorrected: -0.592 eV per formula unit

***

! PBE-GGA YOsBr3, optimized geometry; values from VASP
&SYSTEM
  ibrav = 0, nat = 5, ntyp = 3
/
ATOMIC_SPECIES
Y 88.91 Y.upf
Os 190.23 Os.upf
Br 79.90 Br.upf
CELL_PARAMETERS angstrom
-1.658 -0.911 -5.262
-2.519 -4.725 1.612
-4.709 2.848 0.990
ATOMIC_POSITIONS angstrom
Y 0.000 0.000 0.000
Os -4.443 -1.394 -1.330
Br -1.259 -2.362 0.806
Br -2.354 1.424 0.495
Br -0.829 -0.456 -2.631
! * total energy: -4.319 eV/atom
! * total magnetization: 4.00 μB per formula unit
! * space-group type: Pm-3m
! * energy relative to the elements, uncorrected: 1.118 eV per formula unit